DFT (PBEsol) results for a geometry-optimized La2RuCl structure.

Cell and atoms, written as POSCAR:
```
La2RuCl
1.0
3.397 0.000 0.000
0.000 5.113 0.000
0.000 0.000 5.113
La Ru Cl
2 1 1
Direct
0.000 0.500 0.000
0.000 0.000 0.500
0.500 0.500 0.500
0.500 0.000 0.000
```

Computed properties:
M_tot in μB/f.u.: 0.00
Formation energy (no corrections) in eV per atom: -0.67